No. 1
Computed, not measured: an optimized crystal structure of Ba2InTe2 at the PBE level of DFT.

## Properties
Space group: P4/mbm, No. 127
DOS at the Fermi energy: 2.21 states/eV per cell
VASP energy: -3.7888 eV/atom

Cell lengths 9.286, 9.286, 4.592 Å; angles 90.00, 90.00, 90.00 degrees
Positions (direct):
Ba 0.154 0.346 0.000
Ba 0.346 0.846 0.000
Ba 0.654 0.154 0.000
Ba 0.846 0.654 0.000
In 0.000 0.000 0.500
In 0.500 0.500 0.500
Te 0.152 0.652 0.500
Te 0.348 0.152 0.500
Te 0.652 0.848 0.500
Te 0.848 0.348 0.500

No. 2
Computed, not measured: an optimized crystal structure of BaIn6Te8 at the PBE level of DFT.

## Properties
Space group: R-3, No. 148
DOS at the Fermi energy: 11.33 states/eV per cell
VASP energy: -3.2898 eV/atom

Cell lengths 8.219, 8.219, 8.219 Å; angles 93.88, 93.88, 93.88 degrees
Positions (direct):
Ba 0.000 0.000 0.000
In 0.118 0.385 0.586
In 0.385 0.586 0.118
In 0.414 0.882 0.615
In 0.586 0.118 0.385
In 0.615 0.414 0.882
In 0.882 0.615 0.414
Te 0.183 0.797 0.322
Te 0.203 0.678 0.817
Te 0.289 0.289 0.289
Te 0.322 0.183 0.797
Te 0.678 0.817 0.203
Te 0.711 0.711 0.711
Te 0.797 0.322 0.183
Te 0.817 0.203 0.678

What is the DOS at the Fermi energy in the first record?
2.21 states/eV per cell